[1]
# RbAs2Ir2 PBE relaxed
# - symmetry = I4/mmm (139)
# - E_form (eV per atom) = -0.452
data_RbAs2Ir2
_cell_length_a 4.066
_cell_length_b 4.066
_cell_length_c 7.623
_cell_angle_alpha 74.55
_cell_angle_beta 74.55
_cell_angle_gamma 90.01
_symmetry_space_group_name_H-M 'P 1'
_symmetry_Int_Tables_number 1
_symmetry_space_group_name_Hall 'P 1'
loop_
_atom_site_label
_atom_site_fract_x
_atom_site_fract_y
_atom_site_fract_z
As1 0.349 0.349 0.302
As2 0.651 0.651 0.698
Ir1 0.750 0.250 0.500
Ir2 0.250 0.750 0.500
Rb1 0.000 0.000 0.000


[2]
# ZnCrRh PBE relaxed
# - symmetry = P3m1 (156)
# - E_form (eV per atom) = 0.004
# - energy relative to the lowest polymorph listed for this composition (meV/atom) = 73
data_ZnCrRh
_cell_length_a 2.678
_cell_length_b 2.678
_cell_length_c 6.474
_cell_angle_alpha 90.00
_cell_angle_beta 90.00
_cell_angle_gamma 120.00
_symmetry_space_group_name_H-M 'P 1'
_symmetry_Int_Tables_number 1
_symmetry_space_group_name_Hall 'P 1'
loop_
_atom_site_label
_atom_site_fract_x
_atom_site_fract_y
_atom_site_fract_z
Cr1 0.000 0.000 0.009
Rh1 0.667 0.333 0.319
Zn1 0.333 0.667 0.672


[3]
# Ta2AsPb PBE relaxed
# - symmetry = C2/m (12)
# - E_form (eV per atom) = 0.474
# - energy relative to the lowest polymorph listed for this composition (meV/atom) = 505
data_Ta2AsPb
_cell_length_a 5.758
_cell_length_b 5.367
_cell_length_c 3.128
_cell_angle_alpha 78.60
_cell_angle_beta 79.93
_cell_angle_gamma 119.04
_symmetry_space_group_name_H-M 'P 1'
_symmetry_Int_Tables_number 1
_symmetry_space_group_name_Hall 'P 1'
loop_
_atom_site_label
_atom_site_fract_x
_atom_site_fract_y
_atom_site_fract_z
Pb1 0.500 0.500 0.000
As1 0.000 0.500 0.500
Ta1 0.000 0.000 0.000
Ta2 0.500 0.000 0.500


[4]
# PmTlCdPt PBE relaxed
# - symmetry = F-43m (216)
# - E_form (eV per atom) = -0.471
data_PmTlCdPt
_cell_length_a 5.059
_cell_length_b 5.059
_cell_length_c 5.059
_cell_angle_alpha 60.00
_cell_angle_beta 60.00
_cell_angle_gamma 60.00
_symmetry_space_group_name_H-M 'P 1'
_symmetry_Int_Tables_number 1
_symmetry_space_group_name_Hall 'P 1'
loop_
_atom_site_label
_atom_site_fract_x
_atom_site_fract_y
_atom_site_fract_z
Tl1 0.500 0.500 0.500
Cd1 0.750 0.750 0.750
Pt1 0.000 0.000 0.000
Pm1 0.250 0.250 0.250


[5]
# CdGa3B PBE relaxed
# - symmetry = Pm-3m (221)
# - E_form (eV per atom) = 0.382
# - energy relative to the lowest polymorph listed for this composition (meV/atom) = 0
data_CdGa3B
_cell_length_a 4.486
_cell_length_b 4.486
_cell_length_c 4.486
_cell_angle_alpha 90.00
_cell_angle_beta 90.00
_cell_angle_gamma 90.00
_symmetry_space_group_name_H-M 'P 1'
_symmetry_Int_Tables_number 1
_symmetry_space_group_name_Hall 'P 1'
loop_
_atom_site_label
_atom_site_fract_x
_atom_site_fract_y
_atom_site_fract_z
B1 0.000 0.000 0.000
Ga1 0.000 0.500 0.000
Ga2 0.000 0.000 0.500
Ga3 0.500 0.000 0.000
Cd1 0.500 0.500 0.500


[6]
# NbGaW PBE relaxed
# - symmetry = P3m1 (156)
# - E_form (eV per atom) = 0.008
# - energy relative to the lowest polymorph listed for this composition (meV/atom) = 99
data_NbGaW
_cell_length_a 2.781
_cell_length_b 4.562
_cell_length_c 4.562
_cell_angle_alpha 120.00
_cell_angle_beta 90.00
_cell_angle_gamma 90.00
_symmetry_space_group_name_H-M 'P 1'
_symmetry_Int_Tables_number 1
_symmetry_space_group_name_Hall 'P 1'
loop_
_atom_site_label
_atom_site_fract_x
_atom_site_fract_y
_atom_site_fract_z
Nb1 0.692 0.667 0.333
Ga1 0.299 0.000 0.000
W1 0.008 0.333 0.667


[7]
# NaCuS2N PBE relaxed
# - symmetry = P4/mmm (123)
# - energy relative to the lowest polymorph listed for this composition (meV/atom) = 0
data_NaCuS2N
_cell_length_a 4.819
_cell_length_b 4.819
_cell_length_c 3.677
_cell_angle_alpha 90.00
_cell_angle_beta 90.00
_cell_angle_gamma 90.00
_symmetry_space_group_name_H-M 'P 1'
_symmetry_Int_Tables_number 1
_symmetry_space_group_name_Hall 'P 1'
loop_
_atom_site_label
_atom_site_fract_x
_atom_site_fract_y
_atom_site_fract_z
Na1 0.500 0.500 0.500
S1 0.000 0.500 0.000
S2 0.500 0.000 0.000
Cu1 0.000 0.000 0.000
N1 0.000 0.000 0.500


[8]
# KCaRu PBE relaxed
# - symmetry = F-43m (216)
# - E_form (eV per atom) = 1.498
# - energy relative to the lowest polymorph listed for this composition (meV/atom) = 782
data_KCaRu
_cell_length_a 5.065
_cell_length_b 5.065
_cell_length_c 5.065
_cell_angle_alpha 60.00
_cell_angle_beta 60.00
_cell_angle_gamma 60.00
_symmetry_space_group_name_H-M 'P 1'
_symmetry_Int_Tables_number 1
_symmetry_space_group_name_Hall 'P 1'
loop_
_atom_site_label
_atom_site_fract_x
_atom_site_fract_y
_atom_site_fract_z
Ca1 0.500 0.500 0.500
K1 0.750 0.750 0.750
Ru1 0.000 0.000 0.000


[9]
# AcTbZnCd PBE relaxed
# - symmetry = P4mm (99)
# - E_form (eV per atom) = -0.283
# - energy relative to the lowest polymorph listed for this composition (meV/atom) = 0
data_AcTbZnCd
_cell_length_a 3.779
_cell_length_b 3.779
_cell_length_c 7.858
_cell_angle_alpha 90.00
_cell_angle_beta 90.00
_cell_angle_gamma 90.00
_symmetry_space_group_name_H-M 'P 1'
_symmetry_Int_Tables_number 1
_symmetry_space_group_name_Hall 'P 1'
loop_
_atom_site_label
_atom_site_fract_x
_atom_site_fract_y
_atom_site_fract_z
Ac1 0.500 0.500 0.123
Tb1 0.500 0.500 0.589
Zn1 0.000 0.000 0.393
Cd1 0.000 0.000 0.824


[10]
# Ba2NpTiS6 PBE relaxed
# - symmetry = Pmmn (59)
# - E_tot (Ry/atom) = -0.4830
data_Ba2NpTiS6
_cell_length_a 7.081
_cell_length_b 7.081
_cell_length_c 10.013
_cell_angle_alpha 90.00
_cell_angle_beta 90.00
_cell_angle_gamma 90.00
_symmetry_space_group_name_H-M 'P 1'
_symmetry_Int_Tables_number 1
_symmetry_space_group_name_Hall 'P 1'
loop_
_atom_site_label
_atom_site_fract_x
_atom_site_fract_y
_atom_site_fract_z
Ba1 0.500 0.750 0.250
Ba2 0.000 0.250 0.750
Ba3 0.500 0.750 0.750
Ba4 0.000 0.250 0.250
Np1 0.000 0.750 0.500
Np2 0.500 0.250 0.000
Ti1 0.500 0.250 0.500
Ti2 0.000 0.750 0.000
S1 0.500 0.250 0.258
S2 0.500 0.250 0.742
S3 0.000 0.750 0.242
S4 0.000 0.750 0.758
S5 0.258 0.007 0.500
S6 0.742 0.007 0.500
S7 0.258 0.492 0.500
S8 0.742 0.492 0.500
S9 0.758 0.508 0.000
S10 0.242 0.508 0.000
S11 0.242 0.993 0.000
S12 0.758 0.993 0.000


[11]
# PmHoTm2Sc4 PBE relaxed
# - symmetry = C2/c (15)
# - E_form (eV per atom) = 0.439
data_PmHoTm2Sc4
_cell_length_a 9.065
_cell_length_b 9.065
_cell_length_c 11.242
_cell_angle_alpha 128.32
_cell_angle_beta 128.32
_cell_angle_gamma 88.48
_symmetry_space_group_name_H-M 'P 1'
_symmetry_Int_Tables_number 1
_symmetry_space_group_name_Hall 'P 1'
loop_
_atom_site_label
_atom_site_fract_x
_atom_site_fract_y
_atom_site_fract_z
Pm1 0.000 0.500 0.000
Pm2 0.000 0.500 0.500
Ho1 0.500 0.500 0.500
Ho2 0.000 0.000 0.000
Tm1 0.500 0.000 0.000
Tm2 0.500 0.000 0.500
Tm3 0.000 0.000 0.500
Tm4 0.500 0.500 0.000
Sc1 0.253 0.750 0.001
Sc2 0.750 0.247 0.499
Sc3 0.250 0.753 0.501
Sc4 0.747 0.250 0.999
Sc5 0.747 0.750 0.000
Sc6 0.750 0.753 0.500
Sc7 0.250 0.247 0.500
Sc8 0.253 0.250 0.000


[12]
# KBeAu PBE relaxed
# - symmetry = P4/nmm (129)
# - E_form (eV per atom) = -0.048
# - energy relative to the lowest polymorph listed for this composition (meV/atom) = 0
data_KBeAu
_cell_length_a 4.508
_cell_length_b 4.508
_cell_length_c 7.320
_cell_angle_alpha 90.00
_cell_angle_beta 90.00
_cell_angle_gamma 90.00
_symmetry_space_group_name_H-M 'P 1'
_symmetry_Int_Tables_number 1
_symmetry_space_group_name_Hall 'P 1'
loop_
_atom_site_label
_atom_site_fract_x
_atom_site_fract_y
_atom_site_fract_z
K1 0.000 0.500 0.842
K2 0.500 0.000 0.158
Au1 0.000 0.500 0.396
Au2 0.500 0.000 0.604
Be1 0.500 0.500 0.500
Be2 0.000 0.000 0.500